Density functional theory data (PBE-GGA) for a relaxed structure of ZnPH5CNClO3.

The structure in CIF format:
```
data_ZnPH5CNClO3
_space_group_name_H-M_alt 'P 1'
_space_group_IT_number 1
_cell_length_a 4.6972
_cell_length_b 15.4835
_cell_length_c 8.0699
_cell_angle_alpha 90.00
_cell_angle_beta 107.14
_cell_angle_gamma 90.00
loop_
_space_group_symop_operation_xyz
'x,y,z'
loop_
_atom_site_label
_atom_site_fract_x
_atom_site_fract_y
_atom_site_fract_z
Zn1 0.0830 0.1777 0.1755
Zn2 0.0830 0.3223 0.6755
Zn3 0.9170 0.6777 0.3245
Zn4 0.9170 0.8223 0.8245
P1 0.4508 0.1620 0.9167
P2 0.4508 0.3380 0.4167
P3 0.5492 0.6620 0.5833
P4 0.5492 0.8380 0.0833
H1 0.1056 0.6485 0.7821
H2 0.1056 0.8515 0.2821
H3 0.2101 0.5531 0.8804
H4 0.2101 0.9469 0.3804
H5 0.2298 0.5391 0.5900
H6 0.2298 0.9609 0.0900
H7 0.4138 0.0280 0.7576
H8 0.4138 0.4720 0.2576
H9 0.4488 0.6366 0.9220
H10 0.4488 0.8634 0.4220
H11 0.5512 0.1366 0.5780
H12 0.5512 0.3634 0.0780
H13 0.5862 0.5280 0.7424
H14 0.5862 0.9720 0.2424
H15 0.7702 0.0391 0.9100
H16 0.7702 0.4609 0.4100
H17 0.7899 0.0531 0.6196
H18 0.7899 0.4469 0.1196
H19 0.8944 0.1485 0.7179
H20 0.8944 0.3515 0.2179
C1 0.4064 0.5741 0.6856
C2 0.4064 0.9259 0.1856
C3 0.5936 0.0741 0.8144
C4 0.5936 0.4259 0.3144
N1 0.2864 0.6057 0.8253
N2 0.2864 0.8943 0.3253
N3 0.7136 0.1057 0.6747
N4 0.7136 0.3943 0.1747
Cl1 0.0564 0.0834 0.3804
Cl2 0.0564 0.4166 0.8804
Cl3 0.9436 0.5834 0.1196
Cl4 0.9436 0.9166 0.6196
O1 0.2266 0.2085 0.7644
O2 0.2266 0.2915 0.2644
O3 0.2917 0.7213 0.4884
O4 0.2917 0.7787 0.9884
O5 0.2936 0.1165 0.0341
O6 0.2936 0.3835 0.5341
O7 0.7064 0.6165 0.4659
O8 0.7064 0.8835 0.9659
O9 0.7083 0.2213 0.0116
O10 0.7083 0.2787 0.5116
O11 0.7734 0.7085 0.7356
O12 0.7734 0.7915 0.2356
```

SG: No. 14
Total DFT energy (no corrections), eV/atom: -5.437

Density functional theory data (PBE-GGA) for a relaxed structure of LaNdAl2.

The structure in CIF format:
```
data_LaNdAl2
_space_group_name_H-M_alt 'P 1'
_space_group_IT_number 1
_cell_length_a 6.0567
_cell_length_b 5.7309
_cell_length_c 6.0763
_cell_angle_alpha 90.00
_cell_angle_beta 101.06
_cell_angle_gamma 90.00
loop_
_space_group_symop_operation_xyz
'x,y,z'
loop_
_atom_site_label
_atom_site_fract_x
_atom_site_fract_y
_atom_site_fract_z
La1 0.1574 0.2500 0.0168
La2 0.8426 0.7500 0.9832
Nd1 0.4834 0.7500 0.3399
Nd2 0.5166 0.2500 0.6601
Al1 0.0000 0.0000 0.5000
Al2 0.0000 0.5000 0.5000
Al3 0.3076 0.7500 0.8013
Al4 0.6924 0.2500 0.1987
```

M_tot, μB per formula unit: 0.00
SG: No. 11
Total DFT energy (no corrections), eV/atom: -4.700

Density functional theory data (PBE-GGA) for a relaxed structure of Zr4Ta3.

The structure in CIF format:
```
data_Zr4Ta3
_space_group_name_H-M_alt 'P 1'
_space_group_IT_number 1
_cell_length_a 8.1854
_cell_length_b 8.1854
_cell_length_c 5.1098
_cell_angle_alpha 90.00
_cell_angle_beta 90.00
_cell_angle_gamma 120.00
loop_
_space_group_symop_operation_xyz
'x,y,z'
loop_
_atom_site_label
_atom_site_fract_x
_atom_site_fract_y
_atom_site_fract_z
Zr1 0.0638 0.8103 0.2500
Zr2 0.1897 0.2536 0.2500
Zr3 0.2536 0.0638 0.7500
Zr4 0.3333 0.6667 0.2500
Zr5 0.6667 0.3333 0.7500
Zr6 0.7464 0.9362 0.2500
Zr7 0.8103 0.7464 0.7500
Zr8 0.9362 0.1897 0.7500
Ta1 0.1024 0.5987 0.7500
Ta2 0.4013 0.5037 0.7500
Ta3 0.4963 0.8976 0.7500
Ta4 0.5037 0.1024 0.2500
Ta5 0.5987 0.4963 0.2500
Ta6 0.8976 0.4013 0.2500
```

M_tot, μB per formula unit: 0.02
SG: No. 176
Distance to the lowest polymorph of the same formula, meV per atom: 87

Computed V, in the same sequence as the records: 560.9; 207.0; 296.5 Å³ per cell.